Crystalline SrCaMn2O6 at its relaxed geometry, computed with PBE with a Hubbard U.

Unit cell a=5.456 b=5.456 c=5.456 alpha=120.81 beta=120.81 gamma=88.60
Sites, in units of the cell vectors:
Sr: 0.000 0.000 0.000
Ca: 0.500 0.500 0.000
Mn: 0.250 0.750 0.500
Mn: 0.750 0.250 0.500
O: 0.000 0.500 0.500
O: 0.058 0.058 0.595
O: 0.463 0.463 0.405
O: 0.500 0.000 0.500
O: 0.537 0.942 0.000
O: 0.942 0.537 0.000

M_tot	6.19	μB/f.u.
volume	113.38	Å³ per cell
E	-6.870	eV/atom
Fermi-level density of states	0.3317	states/eV/atom
space group	I-42m